First-principles (GGA-PBE) data for a geometry-optimized Sr3TlPd8 structure, as listed in the Open Quantum Materials Database.

Lattice parameters (Å, degrees): 5.5382 5.5382 27.2120 90.00 90.00 120.00
Space group R3m (No. 160, hexagonal axes)
Asymmetric unit:
Sr (0.0000, 0.0000, 0.0000) (multiplicity 3)
Sr (0.0000, 0.0000, 0.1276) (multiplicity 3)
Sr (0.0000, 0.0000, 0.6195) (multiplicity 3)
Tl (0.0000, 0.0000, 0.4976) (multiplicity 3)
Pd (0.0000, 0.0000, 0.3115) (multiplicity 3)
Pd (0.0000, 0.0000, 0.8119) (multiplicity 3)
Pd (0.0004, 0.5002, 0.5611) (multiplicity 9)
Pd (0.0015, 0.5007, 0.0622) (multiplicity 9)

## Properties
As for the density: 9.09 g/cm3. The total energy comes out at -4.629 eV/atom.

First-principles (GGA-PBE) data for a geometry-optimized NaZr2Tl structure, as listed in the Open Quantum Materials Database.

Lattice parameters (Å, degrees): 7.2714 7.2714 7.2714 90.00 90.00 90.00
Space group F-43m (No. 216)
Asymmetric unit:
Na (0.0000, 0.0000, 0.0000) (multiplicity 4)
Zr (0.0000, 0.0000, 0.5000) (multiplicity 4)
Zr (0.2500, 0.2500, 0.2500) (multiplicity 4)
Tl (0.2500, 0.2500, 0.7500) (multiplicity 4)

## Properties
As for the density: 7.08 g/cm3. The total energy comes out at -4.775 eV/atom.

First-principles (GGA-PBE) data for a geometry-optimized Tb2GdCo2B2C3 structure, as listed in the Open Quantum Materials Database.

Lattice parameters (Å, degrees): 3.5694 3.5694 20.6570 90.00 90.00 90.00
Space group I4/mmm (No. 139)
Asymmetric unit:
Tb (0.0000, 0.0000, 0.1250) (multiplicity 4)
Gd (0.0000, 0.0000, 0.5000) (multiplicity 2)
Co (0.0000, 0.5000, 0.2500) (multiplicity 4)
B (0.0000, 0.0000, 0.3053) (multiplicity 4)
C (0.0000, 0.0000, 0.0000) (multiplicity 2)
C (0.0000, 0.0000, 0.3779) (multiplicity 4)

## Properties
As for the density: 8.21 g/cm3. The total energy comes out at -7.206 eV/atom.

First-principles (GGA-PBE) data for a geometry-optimized TlTc3F6 structure, as listed in the Open Quantum Materials Database.

Lattice parameters (Å, degrees): 8.9080 8.9080 8.9080 90.00 90.00 90.00
Space group Fm-3m (No. 225)
Asymmetric unit:
Tl (0.0000, 0.0000, 0.0000) (multiplicity 4)
Tc (0.0000, 0.0000, 0.5000) (multiplicity 4)
Tc (0.2500, 0.2500, 0.2500) (multiplicity 8)
F (0.0000, 0.0000, 0.2790) (multiplicity 24)

## Properties
As for the density: 5.75 g/cm3. The total energy comes out at -5.040 eV/atom.

First-principles (GGA-PBE) data for a geometry-optimized NaMgFeRe structure, as listed in the Open Quantum Materials Database.

Lattice parameters (Å, degrees): 6.1940 6.1940 6.1940 90.00 90.00 90.00
Space group F-43m (No. 216)
Asymmetric unit:
Na (0.0000, 0.0000, 0.0000) (multiplicity 4)
Mg (0.2500, 0.2500, 0.7500) (multiplicity 4)
Fe (0.2500, 0.2500, 0.2500) (multiplicity 4)
Re (0.0000, 0.0000, 0.5000) (multiplicity 4)

## Properties
As for the density: 8.09 g/cm3. The total energy comes out at -5.074 eV/atom. As for the energy above the lowest structure with this stoichiometry: 4.2 kJ/mol of atoms.

First-principles (GGA-PBE) data for a geometry-optimized SmReMo structure, as listed in the Open Quantum Materials Database.

Lattice parameters (Å, degrees): 7.3028 7.3028 4.4276 90.00 90.00 120.00
Space group P-62m (No. 189)
Asymmetric unit:
Sm (0.0000, 0.0000, 0.0000) (multiplicity 1)
Sm (0.3333, 0.6667, 0.0000) (multiplicity 2)
Re (0.0000, 0.6671, 0.5000) (multiplicity 3)
Mo (0.0000, 0.3338, 0.5000) (multiplicity 3)

## Properties
As for the density: 10.54 g/cm3. Its energy of formation from the pure elements is 1.29 eV/f.u. The total energy comes out at -8.899 eV/atom. As for the energy above the lowest structure with this stoichiometry: 0.0 kJ/mol of atoms.

First-principles (GGA-PBE) data for a geometry-optimized Y2TcSn structure, as listed in the Open Quantum Materials Database.

Lattice parameters (Å, degrees): 7.0449 7.0449 7.0449 90.00 90.00 90.00
Space group F-43m (No. 216)
Asymmetric unit:
Y (0.0000, 0.0000, 0.0000) (multiplicity 4)
Y (0.2500, 0.2500, 0.2500) (multiplicity 4)
Tc (0.2500, 0.2500, 0.7500) (multiplicity 4)
Sn (0.0000, 0.0000, 0.5000) (multiplicity 4)

## Properties
As for the density: 7.49 g/cm3. The total energy comes out at -6.942 eV/atom.

First-principles (GGA-PBE) data for a geometry-optimized CuAg6 structure, as listed in the Open Quantum Materials Database.

Lattice parameters (Å, degrees): 2.9178 2.9178 28.1450 90.00 90.00 90.00
Space group I4/mmm (No. 139)
Asymmetric unit:
Cu (0.0000, 0.0000, 0.0000) (multiplicity 2)
Ag (0.0000, 0.0000, 0.1385) (multiplicity 4)
Ag (0.0000, 0.0000, 0.2869) (multiplicity 4)
Ag (0.0000, 0.0000, 0.4370) (multiplicity 4)

## Properties
As for the density: 9.85 g/cm3. Its energy of formation from the pure elements is 0.19 eV/f.u. The total energy comes out at -2.924 eV/atom. As for the energy above the lowest structure with this stoichiometry: 0.0 kJ/mol of atoms.

First-principles (GGA-PBE) data for a geometry-optimized RbTlPd structure, as listed in the Open Quantum Materials Database.

Lattice parameters (Å, degrees): 7.6599 7.6599 7.6599 90.00 90.00 90.00
Space group F-43m (No. 216)
Asymmetric unit:
Rb (0.0000, 0.0000, 0.0000) (multiplicity 4)
Tl (0.2500, 0.2500, 0.2500) (multiplicity 4)
Pd (0.2500, 0.2500, 0.7500) (multiplicity 4)

## Properties
As for the density: 5.86 g/cm3. The total energy comes out at -2.277 eV/atom. As for the energy above the lowest structure with this stoichiometry: 44.7 kJ/mol of atoms.

First-principles (GGA-PBE) data for a geometry-optimized Lu2NbZn structure, as listed in the Open Quantum Materials Database.

Lattice parameters (Å, degrees): 6.9596 6.9596 6.9596 90.00 90.00 90.00
Space group F-43m (No. 216)
Asymmetric unit:
Lu (0.0000, 0.0000, 0.0000) (multiplicity 4)
Lu (0.2500, 0.2500, 0.2500) (multiplicity 4)
Nb (0.2500, 0.2500, 0.7500) (multiplicity 4)
Zn (0.0000, 0.0000, 0.5000) (multiplicity 4)

## Properties
As for the density: 10.01 g/cm3. Its energy of formation from the pure elements is 1.00 eV/f.u. The total energy comes out at -4.851 eV/atom.

First-principles (GGA-PBE) data for a geometry-optimized TbZnNO structure, as listed in the Open Quantum Materials Database.

Lattice parameters (Å, degrees): 3.6896 6.0522 5.1749 90.00 90.00 90.00
Space group Pmc2_1 (No. 26)
Asymmetric unit:
Tb (0.0000, 0.1971, 0.0000) (multiplicity 2)
Zn (0.5000, 0.3038, 0.5066) (multiplicity 2)
N (0.0000, 0.1742, 0.4529) (multiplicity 2)
O (0.5000, 0.3672, 0.9077) (multiplicity 2)

## Properties
As for the density: 7.31 g/cm3. The total energy comes out at -6.381 eV/atom. As for the energy above the lowest structure with this stoichiometry: 3.8 kJ/mol of atoms.

First-principles (GGA-PBE) data for a geometry-optimized Y2Co17H3 structure, as listed in the Open Quantum Materials Database.

Lattice parameters (Å, degrees): 8.3334 8.3334 12.0421 90.00 90.00 120.00
Space group R-3m (No. 166, hexagonal axes)
Asymmetric unit:
Y (0.0000, 0.0000, 0.1552) (multiplicity 6)
Co (0.0000, 0.0000, 0.4028) (multiplicity 6)
Co (0.0000, 0.2839, 0.5000) (multiplicity 18)
Co (0.0000, 0.5000, 0.0000) (multiplicity 9)
Co (0.0055, 0.5028, 0.3488) (multiplicity 18)
H (0.0000, 0.5000, 0.5000) (multiplicity 9)

## Properties
As for the density: 8.14 g/cm3. The total energy comes out at -6.659 eV/atom.

First-principles (GGA-PBE) data for a geometry-optimized Nb4Se3N2 structure, as listed in the Open Quantum Materials Database.

Lattice parameters (Å, degrees): 12.6190 3.3511 9.6321 90.00 128.79 90.00
Space group C2/m (No. 12)
Asymmetric unit:
Nb (0.0662, 0.0000, 0.3383) (multiplicity 4)
Nb (0.2042, 0.5000, 0.8566) (multiplicity 4)
Se (0.0000, 0.5000, 0.5000) (multiplicity 2)
Se (0.1943, 0.5000, 0.2795) (multiplicity 4)
N (0.1115, 0.0000, 0.8956) (multiplicity 4)

## Properties
As for the density: 6.66 g/cm3. The total energy comes out at -8.165 eV/atom.

First-principles (GGA-PBE) data for a geometry-optimized RbBePt structure, as listed in the Open Quantum Materials Database.

Lattice parameters (Å, degrees): 6.5270 6.5270 6.5270 90.00 90.00 90.00
Space group F-43m (No. 216)
Asymmetric unit:
Rb (0.0000, 0.0000, 0.0000) (multiplicity 4)
Be (0.2500, 0.2500, 0.7500) (multiplicity 4)
Pt (0.0000, 0.0000, 0.5000) (multiplicity 4)

## Properties
As for the density: 6.92 g/cm3. The total energy comes out at -2.737 eV/atom. As for the energy above the lowest structure with this stoichiometry: 0.0 kJ/mol of atoms.

First-principles (GGA-PBE) data for a geometry-optimized Dy4TmGa3 structure, as listed in the Open Quantum Materials Database.

Lattice parameters (Å, degrees): 8.1433 8.1433 6.4135 90.00 90.00 90.00
Space group I-42m (No. 121)
Asymmetric unit:
Dy (0.2313, 0.2313, 0.3551) (multiplicity 8)
Tm (0.0000, 0.0000, 0.0000) (multiplicity 2)
Ga (0.0000, 0.0000, 0.5000) (multiplicity 2)
Ga (0.0000, 0.5000, 0.2500) (multiplicity 4)

## Properties
As for the density: 8.03 g/cm3. The total energy comes out at -4.073 eV/atom.

First-principles (GGA-PBE) data for a geometry-optimized BaLiTbSe3 structure, as listed in the Open Quantum Materials Database.

Lattice parameters (Å, degrees): 4.2731 14.0690 10.7746 90.00 90.00 90.00
Space group Cmcm (No. 63)
Asymmetric unit:
Ba (0.0000, 0.2466, 0.2500) (multiplicity 4)
Li (0.0000, 0.0287, 0.7500) (multiplicity 4)
Tb (0.0000, 0.5000, 0.0000) (multiplicity 4)
Se (0.0000, 0.1335, 0.5598) (multiplicity 8)
Se (0.0000, 0.4306, 0.7500) (multiplicity 4)

## Properties
As for the density: 5.54 g/cm3. The total energy comes out at -4.987 eV/atom. As for the energy above the lowest structure with this stoichiometry: 0.0 kJ/mol of atoms.

First-principles (GGA-PBE) data for a geometry-optimized Dy5S6 structure, as listed in the Open Quantum Materials Database.

Lattice parameters (Å, degrees): 6.7580 11.6704 6.7245 90.00 109.47 90.00
Space group C2/m (No. 12)
Asymmetric unit:
Dy (0.0000, 0.0000, 0.0000) (multiplicity 2)
Dy (0.0000, 0.1656, 0.5000) (multiplicity 4)
Dy (0.0000, 0.3371, 0.0000) (multiplicity 4)
S (0.2494, 0.1670, 0.2489) (multiplicity 8)
S (0.2501, 0.0000, 0.7458) (multiplicity 4)

## Properties
As for the density: 6.67 g/cm3. The total energy comes out at -6.419 eV/atom.

First-principles (GGA-PBE) data for a geometry-optimized FeAuSe6 structure, as listed in the Open Quantum Materials Database.

Lattice parameters (Å, degrees): 5.9662 5.9699 5.9716 64.89 64.97 64.81
Space group P-1 (No. 2)
Asymmetric unit:
Fe (0.0000, 0.0000, 0.0000) (multiplicity 1)
Au (0.5000, 0.5000, 0.5000) (multiplicity 1)
Se (0.0225, 0.8177, 0.4279) (multiplicity 2)
Se (0.1821, 0.5719, 0.9777) (multiplicity 2)
Se (0.4280, 0.0217, 0.8185) (multiplicity 2)

## Properties
As for the density: 7.25 g/cm3. The total energy comes out at -4.062 eV/atom.

First-principles (GGA-PBE) data for a geometry-optimized CsZnPb structure, as listed in the Open Quantum Materials Database.

Lattice parameters (Å, degrees): 8.3487 8.3487 8.3487 90.00 90.00 90.00
Space group F-43m (No. 216)
Asymmetric unit:
Cs (0.0000, 0.0000, 0.0000) (multiplicity 4)
Zn (0.2500, 0.2500, 0.2500) (multiplicity 4)
Pb (0.2500, 0.2500, 0.7500) (multiplicity 4)

## Properties
As for the density: 4.63 g/cm3. The total energy comes out at -1.224 eV/atom.

First-principles (GGA-PBE) data for a geometry-optimized RbHg3PdSe4 structure, as listed in the Open Quantum Materials Database.

Lattice parameters (Å, degrees): 6.7089 6.7089 6.7089 90.00 90.00 90.00
Space group P-43m (No. 215)
Asymmetric unit:
Rb (0.0000, 0.0000, 0.0000) (multiplicity 1)
Hg (0.0000, 0.5000, 0.5000) (multiplicity 3)
Pd (0.5000, 0.5000, 0.5000) (multiplicity 1)
Se (0.2793, 0.2793, 0.2793) (multiplicity 4)

## Properties
As for the density: 6.10 g/cm3. The total energy comes out at -2.496 eV/atom.